(1)
KV3Os | PBE | relaxed

abc: 4.2159 4.2159 4.2159
angles: 90.00 90.00 90.00
Space group Pm-3m (No. 221)
One atom of each set of equivalent atoms:
K 0.0000 0.0000 0.0000 [1 per cell]
V 0.0000 0.0000 0.5000 [3 per cell]
Os 0.5000 0.5000 0.5000 [1 per cell]

Values from the calculation:
- Polymorph energy (0 for the lowest one): 1.432 eV per atom
- Total moment: 0.0 Bohr magnetons per cell
- Calculated volume: 74.93 Å³/cell
- ΔE_f: 1209 kJ/mol of formula units
- DOS at the Fermi energy: 4.9 states/eV/f.u.

(2)
KVOs3 | PBE | relaxed

abc: 4.6354 4.6354 4.6354
angles: 90.00 90.00 90.00
Space group Pm-3m (No. 221)
One atom of each set of equivalent atoms:
K 0.0000 0.0000 0.0000 [1 per cell]
V 0.5000 0.5000 0.5000 [1 per cell]
Os 0.0000 0.5000 0.5000 [3 per cell]

Values from the calculation:
- Polymorph energy (0 for the lowest one): 0.000 eV per atom
- Total moment: 1.6 Bohr magnetons per cell
- Calculated volume: 99.60 Å³/cell
- ΔE_f: 839 kJ/mol of formula units
- DOS at the Fermi energy: 6.4 states/eV/f.u.

(3)
KVOs3 | PBE | relaxed

abc: 4.5101 4.5101 4.5101
angles: 90.00 90.00 90.00
Space group Pm-3m (No. 221)
One atom of each set of equivalent atoms:
K 0.0000 0.0000 0.0000 [1 per cell]
V 0.5000 0.5000 0.5000 [1 per cell]
Os 0.0000 0.0000 0.5000 [3 per cell]

Values from the calculation:
- Polymorph energy (0 for the lowest one): 1.942 eV per atom
- Total moment: 0.9 Bohr magnetons per cell
- Calculated volume: 91.74 Å³/cell
- ΔE_f: 1776 kJ/mol of formula units
- DOS at the Fermi energy: 8.4 states/eV/f.u.

(4)
KV2Os2 | PBE | relaxed

abc: 4.1423 4.1423 11.7031
angles: 90.00 90.00 90.00
Space group I4/mmm (No. 139)
One atom of each set of equivalent atoms:
K 0.0000 0.0000 0.0000 [2 per cell]
V 0.0000 0.0000 0.3612 [4 per cell]
Os 0.0000 0.5000 0.2500 [4 per cell]

Values from the calculation:
- Polymorph energy (0 for the lowest one): 0.148 eV per atom
- Total moment: 0.0 Bohr magnetons per cell
- Calculated volume: 200.81 Å³/cell
- ΔE_f: 280 kJ/mol of formula units
- DOS at the Fermi energy: 4.5 states/eV/f.u.

(5)
KV3Os | PBE | relaxed

abc: 4.8659 4.8659 4.8659
angles: 90.00 90.00 90.00
Space group Pm-3m (No. 221)
One atom of each set of equivalent atoms:
K 0.0000 0.0000 0.0000 [1 per cell]
V 0.0000 0.5000 0.5000 [3 per cell]
Os 0.5000 0.5000 0.5000 [1 per cell]

Values from the calculation:
- Polymorph energy (0 for the lowest one): 0.000 eV per atom
- Total moment: 6.6 Bohr magnetons per cell
- Calculated volume: 115.21 Å³/cell
- ΔE_f: 518 kJ/mol of formula units
- DOS at the Fermi energy: 6.0 states/eV/f.u.

(6)
KVOs2 | PBE | relaxed

abc: 4.9499 4.9499 16.5982
angles: 90.00 90.00 90.00
Space group I-42d (No. 122)
One atom of each set of equivalent atoms:
K 0.0000 0.0000 0.0000 [4 per cell]
V 0.0000 0.0000 0.5000 [4 per cell]
Os 0.0236 0.2500 0.6250 [8 per cell]

Values from the calculation:
- Polymorph energy (0 for the lowest one): 0.000 eV per atom
- Total moment: 3.3 Bohr magnetons per cell
- Calculated volume: 406.69 Å³/cell
- ΔE_f: 550 kJ/mol of formula units
- DOS at the Fermi energy: 4.9 states/eV/f.u.

(7)
K2YVOs | PBE | relaxed

abc: 5.3618 5.3618 5.7445
angles: 90.00 90.00 90.00
Space group P4/mmm (No. 123)
One atom of each set of equivalent atoms:
K 0.0000 0.5000 0.0000 [2 per cell]
Y 0.0000 0.0000 0.5000 [1 per cell]
V 0.0000 0.0000 0.0000 [1 per cell]
Os 0.5000 0.5000 0.5000 [1 per cell]

Values from the calculation:
- Total moment: 6.1 Bohr magnetons per cell
- Calculated volume: 165.15 Å³/cell
- ΔE_f: 1025 kJ/mol of formula units
- DOS at the Fermi energy: 6.8 states/eV/f.u.

(8)
KVZn2Os | PBE | relaxed

abc: 4.9268 4.9268 5.1036
angles: 90.00 90.00 90.00
Space group P4/mmm (No. 123)
One atom of each set of equivalent atoms:
K 0.0000 0.0000 0.0000 [1 per cell]
V 0.0000 0.0000 0.5000 [1 per cell]
Zn 0.0000 0.5000 0.5000 [2 per cell]
Os 0.5000 0.5000 0.0000 [1 per cell]

Values from the calculation:
- Total moment: 6.3 Bohr magnetons per cell
- Calculated volume: 123.88 Å³/cell
- ΔE_f: 977 kJ/mol of formula units
- DOS at the Fermi energy: 4.9 states/eV/f.u.

What is the ΔE_f in the second record? 839 kJ/mol of formula units

What is the ΔE_f in the seventh record? 1025 kJ/mol of formula units